# 1
LaScIr4 | PBE | relaxed

## Properties
DFT formation energy = -0.67 eV/atom
DOS(E_F) = 5.87 states/eV/cell
Calculated volume = 18.2 A^3/atom

Unit cell a=5.367 b=5.367 c=5.367 alpha=60.00 beta=60.00 gamma=60.00
Sites, in units of the cell vectors:
Ir (0.123, 0.626, 0.626)
Ir (0.626, 0.626, 0.626)
Ir (0.626, 0.123, 0.626)
Ir (0.626, 0.626, 0.123)
La (0.250, 0.250, 0.250)
Sc (0.000, 0.000, 0.000)



# 2
La3ScIr | PBE | relaxed

## Properties
Polymorph energy (0 for the lowest one) = 0.0 meV per atom
DFT formation energy = -0.14 eV/atom
DOS(E_F) = 10.80 states/eV/cell
Calculated volume = 35.8 A^3/atom

Unit cell a=5.636 b=5.636 c=5.636 alpha=90.00 beta=90.00 gamma=90.00
Sites, in units of the cell vectors:
Sc (0.500, 0.500, 0.500)
Ir (0.000, 0.000, 0.000)
La (0.000, 0.500, 0.000)
La (0.000, 0.000, 0.500)
La (0.500, 0.000, 0.000)



# 3
La2ScIr2 | PBE | relaxed

## Properties
Polymorph energy (0 for the lowest one) = 374.2 meV per atom
DFT formation energy = -0.28 eV/atom
DOS(E_F) = 8.99 states/eV/cell
Calculated volume = 23.3 A^3/atom

Unit cell a=8.412 b=8.412 c=3.289 alpha=90.00 beta=90.00 gamma=90.00
Sites, in units of the cell vectors:
Sc (0.000, 0.000, 0.000)
Sc (0.500, 0.500, 0.000)
Ir (0.173, 0.673, 0.500)
Ir (0.673, 0.827, 0.500)
Ir (0.827, 0.327, 0.500)
Ir (0.327, 0.173, 0.500)
La (0.364, 0.864, 0.000)
La (0.864, 0.636, 0.000)
La (0.636, 0.136, 0.000)
La (0.136, 0.364, 0.000)



# 4
LaSc2Ir2 | PBE | relaxed

## Properties
Polymorph energy (0 for the lowest one) = 147.9 meV per atom
DFT formation energy = -0.67 eV/atom
DOS(E_F) = 6.62 states/eV/cell
Calculated volume = 20.6 A^3/atom

Unit cell a=8.024 b=8.024 c=3.204 alpha=90.00 beta=90.00 gamma=90.00
Sites, in units of the cell vectors:
Sc (0.136, 0.636, 0.500)
Sc (0.636, 0.864, 0.500)
Sc (0.864, 0.364, 0.500)
Sc (0.364, 0.136, 0.500)
Ir (0.343, 0.843, 0.000)
Ir (0.843, 0.657, 0.000)
Ir (0.657, 0.157, 0.000)
Ir (0.157, 0.343, 0.000)
La (0.000, 0.000, 0.000)
La (0.500, 0.500, 0.000)